Record 1
DFT (GGA-PBE) results for crystalline ThIn2Sn2 at its relaxed geometry.

```
ThIn2Sn2
1.0
-1.612 3.558 -2.262
-4.271 -1.500 0.685
0.196 5.083 12.363
Th In Sn
2 4 4
Cartesian
-1.491 4.387 7.964
-4.196 2.755 2.822
-3.260 -0.486 1.559
-3.753 5.061 10.639
-2.427 7.628 9.226
-1.934 2.080 0.147
-2.178 4.827 4.643
-3.509 2.314 6.143
-4.446 5.570 7.428
-1.241 1.572 3.357
```

Calculated values
formation energy: -0.2761 eV/atom
space-group type: Cmcm (63)
VASP energy: -4.457 eV per atom

Record 2
DFT (GGA-PBE) results for crystalline Pr2Ga3Cu4Si at its relaxed geometry.

```
Pr2Ga3Cu4Si
1.0
-0.848 -1.679 3.808
4.155 -0.113 0.875
-0.573 9.134 3.900
Pr Ga Cu Si
2 3 4 1
Cartesian
-0.568 1.457 2.885
1.648 6.781 3.357
-0.287 4.567 1.950
-0.923 7.113 5.300
2.003 1.124 0.942
1.653 -0.896 2.342
0.000 0.000 0.000
-0.781 4.852 4.334
1.861 3.386 1.907
1.367 3.671 4.292
```

Calculated values
formation energy (no corrections): -0.442 eV per atom
space-group type: P-4m2 (115)
VASP energy: -4.487 eV per atom

Record 3
DFT (GGA-PBE) results for crystalline KBa2Sr4 at its relaxed geometry.

```
KBa2Sr4
1.0
-0.342 3.512 -2.538
-2.644 -0.060 -3.450
-20.073 9.750 12.477
Sr K Ba
4 1 2
Cartesian
-11.232 7.169 0.268
-19.215 10.767 6.325
-3.844 2.435 0.166
-11.827 6.033 6.222
0.000 0.000 0.000
-7.526 4.796 0.207
-15.534 8.406 6.283
```

Calculated values
formation energy: 0.0303 eV/atom
space-group type: R-3m (166)
VASP energy: -1.637 eV per atom

Record 4
DFT (GGA-PBE) results for crystalline Ni2AsBr at its relaxed geometry.

```
Ni2AsBr
1.0
5.223 -0.182 0.125
-0.141 5.224 -0.125
-0.906 -4.168 3.022
As Br Ni
1 1 2
Cartesian
3.429 -0.914 1.573
0.747 1.788 1.448
4.931 4.893 0.000
2.691 2.671 0.000
```

Calculated values
formation energy (no corrections): 0.284 eV per atom
E above lowest polymorph: 0.386 eV/atom
space-group type: Immm (71)
VASP energy: -4.187 eV per atom

Record 5
DFT (GGA-PBE) results for crystalline LiPmZn at its relaxed geometry.

```
LiPmZn
1.0
-2.942 -1.447 -0.158
0.926 -2.333 4.105
-2.128 4.314 0.112
Zn Li Pm
1 1 1
Cartesian
-0.490 -0.241 -0.026
-0.582 -0.358 2.748
-3.071 1.134 1.337
```

Calculated values
formation energy: -0.1408 eV/atom
E above lowest polymorph: 0.004 eV/atom
space-group type: P-6m2 (187)
VASP energy: -2.787 eV per atom

Record 6
DFT (GGA-PBE) results for crystalline LaTc2OsRh at its relaxed geometry.

```
LaTc2OsRh
1.0
4.735 0.000 0.000
0.000 4.839 0.000
0.000 0.000 4.735
Rh Os Tc La
1 1 2 1
Cartesian
0.000 2.420 0.000
0.000 0.000 0.000
0.000 0.000 2.368
2.368 0.000 0.000
2.368 2.420 2.368
```

Calculated values
formation energy: 0.7378 eV/atom
space-group type: P4/mmm (123)
VASP energy: -8.110 eV per atom

Record 7
DFT (GGA-PBE) results for crystalline Ca2TaTe at its relaxed geometry.

```
Ca2TaTe
1.0
10.263 -0.007 -0.004
9.664 3.455 -0.004
9.664 1.672 3.024
Ca Te Ta
2 1 1
Cartesian
0.058 0.010 0.006
14.737 2.551 1.502
22.193 3.841 2.262
7.398 1.280 0.754
```

Calculated values
formation energy (no corrections): 0.131 eV per atom
space-group type: R-3m (166)
VASP energy: -4.619 eV per atom

Record 8
DFT (GGA-PBE) results for crystalline Tb2CeCd6 at its relaxed geometry.

```
Tb2CeCd6
1.0
-0.563 3.242 0.740
-6.387 -2.355 5.453
8.181 0.752 2.931
Tb Ce Cd
2 1 6
Cartesian
3.325 -0.284 3.772
-2.095 1.923 5.353
8.181 0.752 2.931
0.320 1.083 3.184
0.910 0.556 5.941
5.154 2.121 2.318
3.655 0.809 6.925
-2.425 0.831 2.200
2.464 1.873 1.354
```

Calculated values
formation energy: -0.2953 eV/atom
space-group type: P6/mmm (191)
VASP energy: -2.594 eV per atom